Entry 1:
Below is crystalline KGaFeP at its relaxed geometry, with properties calculated at the PBE level.

The calculation puts the formation energy at -0.33 eV/atom. The total energy is -4.83 eV/atom.

Unit cell a=3.7806 b=3.7806 c=12.6618 alpha=90.00 beta=90.00 gamma=90.00
Closest atoms and distances in Å follow each position.
Element x y z (fractional)
K 0.2500 0.2500 0.2431  4 P 3.31, 4 Fe 3.61
K 0.7500 0.7500 0.7569  4 P 3.31, 4 Fe 3.61
Ga 0.2500 0.7500 0.5000  4 Ga 2.67
Ga 0.7500 0.2500 0.5000  4 Ga 2.67
Fe 0.2500 0.7500 0.0000  4 P 2.20
Fe 0.7500 0.2500 0.0000  4 P 2.20
P 0.2500 0.2500 0.9115  4 Fe 2.20
P 0.7500 0.7500 0.0885  4 Fe 2.20

Entry 2:
Below is crystalline K2GaFeTc at its relaxed geometry, with properties calculated at the PBE level.

The calculation puts the formation energy at 1.49 eV/atom. The total energy is -3.32 eV/atom.

Unit cell a=5.9908 b=5.9908 c=4.7321 alpha=90.00 beta=90.00 gamma=90.00
Closest atoms and distances in Å follow each position.
Element x y z (fractional)
K 0.0000 0.5000 0.0000  2 Fe 3.00
K 0.5000 0.0000 0.0000  2 Fe 3.00
Ga 0.0000 0.0000 0.5000  2 Fe 2.37
Fe 0.0000 0.0000 0.0000  2 Ga 2.37
Tc 0.5000 0.5000 0.5000  8 K 3.82, 4 Ga 4.24

Entry 3:
Below is crystalline K2TiGaFe at its relaxed geometry, with properties calculated at the PBE level.

The calculation puts the formation energy at 1.43 eV/atom. The total energy is -2.89 eV/atom.

Unit cell a=6.5222 b=6.5222 c=5.0236 alpha=90.00 beta=90.00 gamma=90.00
Closest atoms and distances in Å follow each position.
Element x y z (fractional)
K 0.0000 0.5000 0.0000  2 Ti 3.26
K 0.5000 0.0000 0.0000  2 Ti 3.26
Ti 0.0000 0.0000 0.0000  2 Ga 2.51
Ga 0.0000 0.0000 0.5000  2 Ti 2.51
Fe 0.5000 0.5000 0.5000  8 K 4.12

Entry 4:
Below is crystalline KZnGa2Fe at its relaxed geometry, with properties calculated at the PBE level.

The calculation puts the formation energy at -0.03 eV/atom. The total energy is -3.41 eV/atom.

Unit cell a=4.6559 b=4.6559 c=4.8357 alpha=90.00 beta=90.00 gamma=90.00
Closest atoms and distances in Å follow each position.
Element x y z (fractional)
K 0.0000 0.0000 0.0000  4 Zn 3.29, 8 Ga 3.36
Zn 0.5000 0.5000 0.0000  2 Fe 2.42
Ga 0.0000 0.5000 0.5000  2 Fe 2.33
Ga 0.5000 0.0000 0.5000  2 Fe 2.33
Fe 0.5000 0.5000 0.5000  4 Ga 2.33, 2 Zn 2.42